1.
EuGa2Pb (PBE, relaxed); total magnetization = 7.1 Bohr magnetons per cell; DFT total energy = -21.07 eV per cell; formation energy from the elements = -100 kJ/mol of formula units; volume = 25.9 Å³/atom; space group = Fm-3m; DOS at the Fermi energy = 2.18 states/eV per cell
1.0
-2.066 2.692 4.032
-2.670 -2.537 3.769
2.066 -0.481 4.824
Pb Ga Eu
1 2 1
direct
0.500 0.500 0.500
0.750 0.750 0.750
0.250 0.250 0.250
0.000 0.000 0.000

=====

2.
TbHo5Sc3 (PBE, relaxed); total magnetization = 0.0 Bohr magnetons per cell; DFT total energy = -84.44 eV per cell; formation energy from the elements = 414 kJ/mol of formula units; volume = 32.8 Å³/atom; space group = C2/m; DOS at the Fermi energy = 25.80 states/eV per cell
1.0
-4.002 7.777 -2.661
-8.318 -2.448 -2.897
-9.795 4.053 3.543
Ho Sc Tb
10 6 2
direct
0.743 0.257 0.000
0.857 0.352 0.258
0.143 0.648 0.742
0.648 0.143 0.742
0.511 0.511 0.767
0.352 0.857 0.258
0.815 0.815 0.967
0.257 0.743 0.000
0.489 0.489 0.233
0.185 0.185 0.033
0.000 0.000 0.000
0.000 0.000 0.500
0.344 0.344 0.635
0.656 0.656 0.365
0.693 0.693 0.819
0.307 0.307 0.181
0.151 0.151 0.595
0.849 0.849 0.405